The following is a DFT calculation (GGA-PBE) of a geometry-optimized VCoSi structure.

The value obtained for the total moment is 0.98 Bohr magnetons per cell. The density of states at the Fermi level comes out at 3.71 states/eV/f.u. The formation energy from raw total energies comes out at -0.406 eV per atom. The crystal system is orthorhombic.

abc: 4.6945 4.6945 7.3480
angles: 90.00 90.00 119.06
Sites, in units of the cell vectors:
1 Co 0.0024 0.9976 0.7419
2 Co 0.1637 0.3467 0.0000
3 Co 0.6533 0.8363 0.0000
4 Co 0.0024 0.9976 0.2581
5 Si 0.1658 0.8342 0.0000
6 Si 0.8318 0.1682 0.5000
7 Si 0.3425 0.1688 0.5000
8 Si 0.8312 0.6575 0.5000
9 V 0.3364 0.6636 0.3198
10 V 0.6668 0.3332 0.1845
11 V 0.6668 0.3332 0.8155
12 V 0.3364 0.6636 0.6802

***

The following is a DFT calculation (GGA-PBE) of a geometry-optimized VCo7Si4 structure.

The value obtained for the total moment is 0.00 Bohr magnetons per cell. The density of states at the Fermi level comes out at 9.39 states/eV/f.u. The formation energy from raw total energies comes out at -0.166 eV per atom. The crystal system is monoclinic.

abc: 4.0780 6.8061 5.7567
angles: 80.95 69.26 72.57
Sites, in units of the cell vectors:
1 Co 0.5000 0.0000 0.0000
2 Co 0.2186 0.1340 0.4288
3 Co 0.7814 0.8660 0.5712
4 Co 0.0687 0.6660 0.1965
5 Co 0.3459 0.5838 0.7244
6 Co 0.6541 0.4162 0.2756
7 Co 0.9313 0.3340 0.8035
8 Si 0.4212 0.7856 0.3720
9 Si 0.7081 0.6592 0.9245
10 Si 0.5788 0.2144 0.6280
11 Si 0.2919 0.3408 0.0755
12 V 0.0000 0.0000 0.0000

***

The following is a DFT calculation (GGA-PBE) of a geometry-optimized VCo3Si structure.

The value obtained for the distance to the lowest polymorph of the same formula is 734 meV per atom. The value obtained for the total moment is 4.46 Bohr magnetons per cell. The density of states at the Fermi level comes out at 7.28 states/eV/f.u. The formation energy from raw total energies comes out at 0.612 eV per atom. The crystal system is cubic.

abc: 4.1184 4.1184 4.1184
angles: 90.00 90.00 90.00
Sites, in units of the cell vectors:
1 V 0.5000 0.5000 0.5000
2 Co 0.0000 0.5000 0.0000
3 Co 0.0000 0.0000 0.5000
4 Co 0.5000 0.0000 0.0000
5 Si 0.0000 0.0000 0.0000

***

The following is a DFT calculation (GGA-PBE) of a geometry-optimized VCo2Si structure.

The value obtained for the total moment is 1.10 Bohr magnetons per cell. The density of states at the Fermi level comes out at 5.00 states/eV/f.u. The formation energy from raw total energies comes out at -0.342 eV per atom. The crystal system is tetragonal.

abc: 3.3746 3.6740 3.6740
angles: 90.00 90.00 90.00
Sites, in units of the cell vectors:
1 Co 0.0000 0.0000 0.5000
2 Co 0.0000 0.5000 0.0000
3 V 0.5000 0.5000 0.5000
4 Si 0.5000 0.0000 0.0000

***

The following is a DFT calculation (GGA-PBE) of a geometry-optimized V5Co12Si2 structure.

The value obtained for the total moment is 4.81 Bohr magnetons per cell. The density of states at the Fermi level comes out at 20.81 states/eV/f.u. The formation energy from raw total energies comes out at -0.129 eV per atom. The crystal system is monoclinic.

abc: 8.0575 7.3266 4.4718
angles: 100.07 90.00 123.36
Sites, in units of the cell vectors:
1 Co 0.1473 0.7994 0.3817
2 Co 0.8902 0.7803 0.0050
3 Co 0.4531 0.3963 0.2016
4 Co 0.1098 0.2197 0.9950
5 Co 0.0568 0.6037 0.7984
6 Co 0.3478 0.2006 0.6183
7 Co 0.9432 0.3963 0.2016
8 Co 0.5469 0.6037 0.7984
9 Co 0.5601 0.1202 0.2909
10 Co 0.6522 0.7994 0.3817
11 Co 0.4399 0.8798 0.7091
12 Co 0.8527 0.2006 0.6183
13 V 0.6627 0.3255 0.8758
14 V 0.3373 0.6745 0.1242
15 V 0.2198 0.4395 0.5427
16 V 0.0000 0.0000 0.5000
17 V 0.7802 0.5605 0.4573
18 Si 0.7517 0.0000 0.0000
19 Si 0.2483 0.0000 0.0000

***

The following is a DFT calculation (GGA-PBE) of a geometry-optimized V2CoSi2 structure.

The value obtained for the total moment is 0.75 Bohr magnetons per cell. The density of states at the Fermi level comes out at 4.54 states/eV/f.u. The formation energy from raw total energies comes out at -0.371 eV per atom. The crystal system is orthorhombic.

abc: 3.9783 4.9289 6.7384
angles: 90.00 107.17 90.00
Sites, in units of the cell vectors:
1 V 0.7979 0.4031 0.5958
2 V 0.2021 0.9031 0.4042
3 V 0.0077 0.7518 0.0153
4 V 0.9923 0.2518 0.9847
5 Co 0.3982 0.0405 0.7965
6 Co 0.6018 0.5405 0.2035
7 Si 0.1760 0.4080 0.3520
8 Si 0.8240 0.9080 0.6480
9 Si 0.5843 0.0309 0.1686
10 Si 0.4157 0.5309 0.8314

***

The following is a DFT calculation (GGA-PBE) of a geometry-optimized VCoSi structure.

The value obtained for the total moment is 0.00 Bohr magnetons per cell. The density of states at the Fermi level comes out at 1.14 states/eV/f.u. The formation energy from raw total energies comes out at -0.446 eV per atom. The crystal system is tetragonal.

abc: 2.6766 2.6766 5.2235
angles: 104.84 104.84 90.00
Sites, in units of the cell vectors:
1 Si 0.9632 0.9632 0.9265
2 V 0.2851 0.2851 0.5703
3 Co 0.6016 0.6016 0.2032

***

The following is a DFT calculation (GGA-PBE) of a geometry-optimized VCoSiW2 structure.

The value obtained for the total moment is 1.02 Bohr magnetons per cell. The density of states at the Fermi level comes out at 7.14 states/eV/f.u. The formation energy from raw total energies comes out at 1.394 eV per atom. The crystal system is tetragonal.

abc: 4.4614 4.2617 4.4614
angles: 90.00 90.00 90.00
Sites, in units of the cell vectors:
1 Co 0.5000 0.5000 0.5000
2 Si 0.0000 0.0000 0.0000
3 W 0.0000 0.0000 0.5000
4 W 0.5000 0.0000 0.0000
5 V 0.0000 0.5000 0.0000